Entry 1:
Below is crystalline Rb3Pm3SnO8 at its relaxed geometry, with properties calculated at the GGA-PBE level.

Cell: 7.0840 7.0840 19.9688 Å, 90.00 90.00 120.00°
Last column: nearest neighbours and their distance in Å.
Space group R-3m (No. 166, hexagonal axes)
One atom of each set of equivalent atoms:
1 Rb 0.0000 0.5000 0.0000 x9  6 O 2.95-2.98
2 Pm 0.0000 0.5000 0.5000 x9  6 O 2.35-2.42
3 Sn 0.0000 0.0000 0.5000 x3  6 O 2.17
4 O 0.0000 0.0000 0.2245 x6  3 Pm 2.35
5 O 0.0298 0.5149 0.2227 x18  1 Sn 2.17, 2 Pm 2.42

Results
* electronic total energy: -6.4615 eV per atom
* DOS(E_F): 0.0 states/eV/f.u.
* formation energy (no corrections): -2407 meV/atom


Entry 2:
Below is crystalline Ca2NpO5 at its relaxed geometry, with properties calculated at the GGA-PBE level.

Cell: 11.9640 5.6480 7.9826 Å, 90.00 113.90 90.00°
Last column: nearest neighbours and their distance in Å.
Space group C2/c (No. 15)
One atom of each set of equivalent atoms:
1 Ca 0.1376 0.0002 0.2539 x8  5 O 2.28-2.42
2 Np 0.0000 0.5000 0.0000 x4  6 O 2.01-2.25
3 O 0.0000 0.3171 0.2500 x4  2 Np 2.25, 2 Ca 2.42
4 O 0.0721 0.1916 0.9598 x8  1 Np 2.03
5 O 0.1667 0.3616 0.6419 x8  1 Np 2.01

Results
* electronic total energy: -8.2482 eV per atom
* formation energy (no corrections): -3031 meV/atom
* ΔE to the lowest computed polymorph: 0 meV per atom


Entry 3:
Below is crystalline Ca2AcNd4 at its relaxed geometry, with properties calculated at the GGA-PBE level.

Cell: 6.0189 6.0189 17.9951 Å, 90.00 90.00 90.00°
Last column: nearest neighbours and their distance in Å.
Space group I4/mmm (No. 139)
One atom of each set of equivalent atoms:
1 Ca 0.0000 0.0000 0.1171 x4  5 Nd 3.64-3.67
2 Ac 0.0000 0.0000 0.5000 x2  6 Nd 3.01-3.25
3 Nd 0.0000 0.0000 0.3194 x4  1 Ac 3.25
4 Nd 0.0000 0.5000 0.0000 x4  2 Ac 3.01

Results
* electronic total energy: -3.1512 eV per atom
* DOS(E_F): 14.3 states/eV/f.u.
* ΔE_f: 732 meV per atom
* ΔE to the lowest computed polymorph: 652 meV per atom